# NbNiTeO6 | the Alexandria database | GGA+U | relaxed
# M_tot (μB/cell): 2.669
# DFT total energy (eV per cell): -117.09
data_NbNiTeO6
_chemical_formula_sum 'Nb2 Ni2 Te2 O12'
_space_group_name_H-M_alt 'P -3 1 c'
_space_group_IT_number 163
_space_group_name_Hall '-P 3 2c'
_cell_length_a 5.3192
_cell_length_b 5.3192
_cell_length_c 8.9521
_cell_angle_alpha 90.00
_cell_angle_beta 90.00
_cell_angle_gamma 120.00
loop_
_atom_site_label
_atom_site_type_symbol
_atom_site_fract_x
_atom_site_fract_y
_atom_site_fract_z
_atom_site_occupancy
Nb1 Nb 0.3333 0.6667 0.2500 1
Ni1 Ni 0.0000 0.0000 0.0000 1
Te1 Te 0.3333 0.6667 0.7500 1
O1 O 0.0032 0.3476 0.1304 1